1.
DFT (PBE) results for an optimized crystal structure of YAl2Se.

Lattice parameters (Å, degrees): 8.0005 8.0005 6.3281 50.79 50.79 90.00
With the nearest neighbours (Å) after each atom.
Element x y z (fractional)
Y  0.0000  0.0000  0.0000  2 Se 2.84, 4 Al 3.12
Y  0.7500  0.2500  0.5000  2 Se 2.84, 4 Al 3.12
Al  0.5899  0.1250  0.2500  2 Se 2.73, 2 Al 2.89
Al  0.1601  0.6250  0.2500  2 Se 2.73, 2 Al 2.89
Al  0.3750  0.4101  0.7500  2 Se 2.73, 2 Al 2.89
Al  0.8750  0.8399  0.7500  2 Se 2.73, 2 Al 2.89
Se  0.5000  0.5000  0.0000  4 Al 2.73, 2 Y 2.84
Se  0.2500  0.7500  0.5000  4 Al 2.73, 2 Y 2.84

Properties
The volume comes out at 22.69 Å³ per atom. Its crystal system is tetragonal. The uncorrected energy is -4.671 eV/atom. The value obtained for the uncorrected formation energy is -0.313 eV/atom.


2.
DFT (PBE) results for an optimized crystal structure of Sb2Pt2I.

Lattice parameters (Å, degrees): 7.9822 7.9822 3.6073 90.00 90.00 90.00
With the nearest neighbours (Å) after each atom.
Element x y z (fractional)
I  0.0000  0.0000  0.0000  4 Pt 3.14
I  0.5000  0.5000  0.0000  4 Pt 3.14
Sb  0.1462  0.6462  0.5000  6 Pt 2.84-3.12
Sb  0.6462  0.8538  0.5000  6 Pt 2.84-3.12
Sb  0.8538  0.3538  0.5000  6 Pt 2.84-3.12
Sb  0.3538  0.1462  0.5000  6 Pt 2.84-3.12
Pt  0.3718  0.8718  0.0000  6 Sb 2.84-3.12, 1 Pt 2.89, 2 I 3.14
Pt  0.8718  0.6282  0.0000  6 Sb 2.84-3.12, 1 Pt 2.89, 2 I 3.14
Pt  0.6282  0.1282  0.0000  6 Sb 2.84-3.12, 1 Pt 2.89, 2 I 3.14
Pt  0.1282  0.3718  0.0000  6 Sb 2.84-3.12, 1 Pt 2.89, 2 I 3.14

Properties
The volume comes out at 22.98 Å³ per atom. Its crystal system is tetragonal. The uncorrected energy is -4.373 eV/atom. The value obtained for the uncorrected formation energy is 0.002 eV/atom.


3.
DFT (PBE) results for an optimized crystal structure of SnP2WS.

Lattice parameters (Å, degrees): 4.7515 4.7515 4.7649 90.00 90.00 90.00
With the nearest neighbours (Å) after each atom.
Element x y z (fractional)
P  0.0000  0.5000  0.0000  2 W 2.38
P  0.5000  0.0000  0.0000  2 W 2.38
S  0.0000  0.0000  0.5000  2 W 2.38
Sn  0.5000  0.5000  0.5000  4 S 3.36, 8 P 3.36
W  0.0000  0.0000  0.0000  4 P 2.38, 2 S 2.38

Properties
The volume comes out at 21.52 Å³ per atom. Its crystal system is tetragonal. The uncorrected energy is -6.067 eV/atom. The value obtained for the uncorrected formation energy is 0.313 eV/atom.


4.
DFT (PBE) results for an optimized crystal structure of CeSm2Mg3.

Lattice parameters (Å, degrees): 3.8239 3.8239 11.6441 90.00 90.00 90.00
With the nearest neighbours (Å) after each atom.
Element x y z (fractional)
Ce  0.5000  0.5000  0.5000  8 Mg 3.34
Sm  0.5000  0.5000  0.8338  8 Mg 3.32-3.33
Sm  0.5000  0.5000  0.1662  8 Mg 3.32-3.33
Mg  0.0000  0.0000  0.0000  8 Sm 3.33
Mg  0.0000  0.0000  0.6684  4 Sm 3.32, 4 Ce 3.34
Mg  0.0000  0.0000  0.3316  4 Sm 3.32, 4 Ce 3.34

Properties
The volume comes out at 28.38 Å³ per atom. Its crystal system is tetragonal. The value obtained for the energy relative to the elements is -0.0365 eV per atom. The uncorrected energy is -3.396 eV/atom.